# 1
Entry from Alexandria: a relaxed BiIrS2 crystal (PBE).

uncorrected energy = -5.38 eV per atom
space-group type = P1
total moment = 0.0 μB/f.u.

```
8
Lattice="5.984 0.000 0.000 -2.540 5.672 0.000 -2.678 -2.032 5.499" Properties=species:S:1:pos:R:3 pbc="T T T"
Bi 0.000 0.000 0.000
Bi -1.684 2.865 2.857
Ir 0.350 3.584 1.038
Ir 2.899 0.613 2.434
S 0.764 1.514 2.103
S 2.727 0.095 0.163
S 2.014 4.598 2.314
S 2.521 0.444 4.805
```



# 2
Entry from Alexandria: a relaxed Re2RuPt2 crystal (PBE).

energy above the most stable polymorph in this dataset = 0 meV per atom
calculated formation energy = 0.4069 eV per atom
space-group type = P4/mbm
total moment = 0.1 μB/f.u.

```
10
Lattice="7.543 0.000 0.000 0.000 7.543 0.000 0.000 0.000 2.777" Properties=species:S:1:pos:R:3 pbc="T T T"
Re 1.313 2.458 0.000
Re 2.458 6.229 0.000
Re 5.085 1.313 0.000
Re 6.229 5.085 0.000
Ru 0.000 0.000 1.389
Ru 3.771 3.771 1.389
Pt 0.939 4.710 1.389
Pt 2.833 0.939 1.389
Pt 4.710 6.604 1.389
Pt 6.604 2.833 1.389
```